First-principles (GGA-PBE) data for an optimized crystal structure of PrFeNi3, as listed in Alexandria.

a = 5.851 Å, b = 5.851 Å, c = 5.377 Å
α = 90.00°, β = 90.00°, γ = 120.10°
Element x y z (fractional)
1 Pr 0.166 0.834 0.750
2 Pr 0.834 0.166 0.250
3 Fe 0.500 0.500 0.000
4 Fe 0.500 0.500 0.500
5 Ni 0.110 0.305 0.750
6 Ni 0.305 0.110 0.250
7 Ni 0.305 0.695 0.250
8 Ni 0.695 0.305 0.750
9 Ni 0.695 0.890 0.750
10 Ni 0.890 0.695 0.250

Calculated values
Its symmetry is Cmcm, No. 63. As for the energy relative to the elements: -46 meV/atom. The volume comes out at 15.93 Å³/atom. The calculation puts the energy at -6.16 eV per atom.